1.
The following is a meta-GGA SCAN calculation of a crystal of KMnCd3 relaxed with PBEsol, from Alexandria.

The value obtained for the energy of formation is 5.08 eV/f.u. The distance to the lowest polymorph of the same formula is 871 meV/atom. The raw total energy is -22.55 eV/atom.

Geometry as CIF:
```
data_KMnCd3
_cell_length_a 5.853
_cell_length_b 5.853
_cell_length_c 5.853
_cell_angle_alpha 90.00
_cell_angle_beta 90.00
_cell_angle_gamma 90.00
_space_group_name_H-M_alt 'P m -3 m'
_space_group_IT_number 221
_space_group_name_Hall '-P 4 2 3'
loop_
_atom_site_label
_atom_site_type_symbol
_atom_site_fract_x
_atom_site_fract_y
_atom_site_fract_z
K1 K 0.000 0.000 0.000
Mn1 Mn 0.500 0.500 0.500
Cd1 Cd 0.000 0.000 0.500
```

2.
The following is a meta-GGA SCAN calculation of a crystal of KMnCd relaxed with PBEsol, from Alexandria.

The value obtained for the energy of formation is 0.58 eV/f.u. The raw total energy is -18.81 eV/atom.

Geometry as CIF:
```
data_KMnCd
_cell_length_a 3.032
_cell_length_b 4.395
_cell_length_c 12.174
_cell_angle_alpha 90.00
_cell_angle_beta 90.00
_cell_angle_gamma 90.00
_space_group_name_H-M_alt 'I m m 2'
_space_group_IT_number 44
_space_group_name_Hall 'I 2 -2'
loop_
_atom_site_label
_atom_site_type_symbol
_atom_site_fract_x
_atom_site_fract_y
_atom_site_fract_z
K1 K 0.000 0.000 0.000
Mn1 Mn 0.000 0.000 0.272
Cd1 Cd 0.000 0.000 0.718
```

3.
The following is a meta-GGA SCAN calculation of a crystal of KMn3Cd relaxed with PBEsol, from Alexandria.

The value obtained for the energy of formation is 8.82 eV/f.u. The raw total energy is -16.94 eV/atom.

Geometry as CIF:
```
data_KMn3Cd
_cell_length_a 4.711
_cell_length_b 4.711
_cell_length_c 4.711
_cell_angle_alpha 90.00
_cell_angle_beta 90.00
_cell_angle_gamma 90.00
_space_group_name_H-M_alt 'P m -3 m'
_space_group_IT_number 221
_space_group_name_Hall '-P 4 2 3'
loop_
_atom_site_label
_atom_site_type_symbol
_atom_site_fract_x
_atom_site_fract_y
_atom_site_fract_z
K1 K 0.000 0.000 0.000
Mn1 Mn 0.000 0.000 0.500
Cd1 Cd 0.500 0.500 0.500
```

4.
The following is a meta-GGA SCAN calculation of a crystal of KMn2Cd relaxed with PBEsol, from Alexandria.

The value obtained for the energy of formation is 1.74 eV/f.u. The raw total energy is -18.38 eV/atom.

Geometry as CIF:
```
data_KMn2Cd
_cell_length_a 2.973
_cell_length_b 5.470
_cell_length_c 10.868
_cell_angle_alpha 90.00
_cell_angle_beta 90.00
_cell_angle_gamma 90.00
_space_group_name_H-M_alt 'I m m m'
_space_group_IT_number 71
_space_group_name_Hall '-I 2 2'
loop_
_atom_site_label
_atom_site_type_symbol
_atom_site_fract_x
_atom_site_fract_y
_atom_site_fract_z
K1 K 0.000 0.000 0.000
Mn1 Mn 0.000 0.500 0.218
Cd1 Cd 0.000 0.000 0.500
```

5.
The following is a meta-GGA SCAN calculation of a crystal of KMn2Cd relaxed with PBEsol, from Alexandria.

The value obtained for the energy of formation is 1.88 eV/f.u. The raw total energy is -18.34 eV/atom.

Geometry as CIF:
```
data_KMn2Cd
_cell_length_a 3.0005
_cell_length_b 3.0005
_cell_length_c 31.6643
_cell_angle_alpha 90.00
_cell_angle_beta 90.00
_cell_angle_gamma 120.00
_space_group_name_H-M_alt 'R -3 m'
_space_group_IT_number 166
_space_group_name_Hall '-R 3 2"'
loop_
_atom_site_label
_atom_site_type_symbol
_atom_site_fract_x
_atom_site_fract_y
_atom_site_fract_z
K1 K 0.0000 0.0000 0.0000
Mn1 Mn 0.0000 0.0000 0.2392
Cd1 Cd 0.0000 0.0000 0.5000
```

6.
The following is a meta-GGA SCAN calculation of a crystal of K2MnCd relaxed with PBEsol, from Alexandria.

The value obtained for the energy of formation is 1.66 eV/f.u. The raw total energy is -15.92 eV/atom.

Geometry as CIF:
```
data_K2MnCd
_cell_length_a 4.822
_cell_length_b 4.822
_cell_length_c 10.947
_cell_angle_alpha 90.00
_cell_angle_beta 90.00
_cell_angle_gamma 90.00
_space_group_name_H-M_alt 'I 4/m m m'
_space_group_IT_number 139
_space_group_name_Hall '-I 4 2'
loop_
_atom_site_label
_atom_site_type_symbol
_atom_site_fract_x
_atom_site_fract_y
_atom_site_fract_z
K1 K 0.000 0.500 0.250
Mn1 Mn 0.000 0.000 0.000
Cd1 Cd 0.000 0.000 0.500
```

7.
The following is a meta-GGA SCAN calculation of a crystal of KMnCd3 relaxed with PBEsol, from Alexandria.

The value obtained for the energy of formation is 0.73 eV/f.u. The distance to the lowest polymorph of the same formula is 0 meV/atom. The raw total energy is -23.42 eV/atom.

Geometry as CIF:
```
data_KMnCd3
_cell_length_a 5.195
_cell_length_b 5.195
_cell_length_c 5.195
_cell_angle_alpha 90.00
_cell_angle_beta 90.00
_cell_angle_gamma 90.00
_space_group_name_H-M_alt 'P m -3 m'
_space_group_IT_number 221
_space_group_name_Hall '-P 4 2 3'
loop_
_atom_site_label
_atom_site_type_symbol
_atom_site_fract_x
_atom_site_fract_y
_atom_site_fract_z
K1 K 0.000 0.000 0.000
Mn1 Mn 0.500 0.500 0.500
Cd1 Cd 0.000 0.500 0.500
```

8.
The following is a meta-GGA SCAN calculation of a crystal of KMn2CdO relaxed with PBEsol, from Alexandria.

For the formation energy from raw total energies, the calculation gives -8.556 kcal/mol of atoms. The raw total energy is -16.67 eV/atom.

Geometry as CIF:
```
data_KMn2CdO
_cell_length_a 4.145
_cell_length_b 4.145
_cell_length_c 5.062
_cell_angle_alpha 90.00
_cell_angle_beta 90.00
_cell_angle_gamma 90.00
_space_group_name_H-M_alt 'P 4/m m m'
_space_group_IT_number 123
_space_group_name_Hall '-P 4 2'
loop_
_atom_site_label
_atom_site_type_symbol
_atom_site_fract_x
_atom_site_fract_y
_atom_site_fract_z
K1 K 0.000 0.000 0.000
Mn1 Mn 0.000 0.500 0.500
Cd1 Cd 0.500 0.500 0.000
O1 O 0.000 0.000 0.500
```